# 1
## LiPb2W (SCAN)

Data for LiPb2W at its PBEsol-relaxed geometry.

Summary:
Electronic total energy = -221.5 eV per formula unit
Polymorph energy (0 for the lowest one) = 0.0 meV per atom
Total magnetization = 0.0 μB per formula unit
Formation energy from the elements = 535 meV per atom

Cell and atoms, written as POSCAR:
```
LiPb2W
1.0
3.516 0.000 0.000
0.000 3.516 0.000
0.000 0.000 6.449
Pb W Li
2 1 1
Direct
0.000 0.000 0.755
0.000 0.000 0.245
0.500 0.500 0.000
0.500 0.500 0.500
```

=====

# 2
## LiPbW3 (SCAN)

Data for LiPbW3 at its PBEsol-relaxed geometry.

Summary:
Electronic total energy = -278.4 eV per formula unit
Total magnetization = 0.0 μB per formula unit
Formation energy from the elements = 1764 meV per atom

Cell and atoms, written as POSCAR:
```
LiPbW3
1.0
4.314 0.000 0.000
0.000 4.314 0.000
0.000 0.000 4.314
Li W Pb
1 3 1
Direct
0.000 0.000 0.000
0.500 0.000 0.000
0.000 0.500 0.000
0.000 0.000 0.500
0.500 0.500 0.500
```

=====

- Number 1 is which compound?
  LiPb2W

=====

- What is the formula in the first record?
  LiPb2W

=====

- The highest electronic total energy belongs to which entry?
  LiPb2W

=====

Repeat the first record exactly.
## LiPb2W (SCAN)

Data for LiPb2W at its PBEsol-relaxed geometry.

Summary:
Electronic total energy = -221.5 eV per formula unit
Polymorph energy (0 for the lowest one) = 0.0 meV per atom
Total magnetization = 0.0 μB per formula unit
Formation energy from the elements = 535 meV per atom

Cell and atoms, written as POSCAR:
```
LiPb2W
1.0
3.516 0.000 0.000
0.000 3.516 0.000
0.000 0.000 6.449
Pb W Li
2 1 1
Direct
0.000 0.000 0.755
0.000 0.000 0.245
0.500 0.500 0.000
0.500 0.500 0.500
```